K3Mn3TeO8 | the Alexandria database | PBE+U | relaxed; raw total energy = -91.2 eV/cell
1.0
-5.4935 -3.2568 1.0576
3.7498 1.7272 4.9853
-3.7807 5.3276 -3.2321
Te O K Mn
1 8 3 3
Cartesian
-1.8903 2.6638 -1.6160
-2.4241 1.0054 -0.6653
-3.3891 0.1702 2.7307
-0.7097 1.8924 2.1420
-5.4689 -0.7995 -0.0792
-4.8147 1.9055 0.6688
-2.1353 3.6278 0.0801
-3.1003 2.7926 3.4761
-0.0555 4.5974 2.8899
-0.8719 -0.7648 3.0214
1.8749 0.8636 2.4926
0.0000 0.0000 0.0000
-0.0155 3.5274 0.8766
-4.6371 1.0354 -1.0873
-2.7622 1.8990 1.4054